--- i ---
The following is a DFT calculation (GGA-PBE) of crystalline Ce2MgPt at its relaxed geometry.

Properties
**Volume**: 398 Å³/cell
**M_tot**: 1.2 μB per formula unit

Structure (POSCAR):
```
Ce2MgPt
1.0
5.7402 0.0000 0.0000
0.0000 5.8970 0.0000
-5.4872 0.0000 11.7460
Ce Mg Pt
8 4 4
direct
0.0099 0.1259 0.0953 Ce
0.0099 0.3741 0.5953 Ce
0.2886 0.2446 0.4072 Ce
0.2886 0.2554 0.9072 Ce
0.7114 0.7446 0.0928 Ce
0.7114 0.7554 0.5928 Ce
0.9901 0.6259 0.4047 Ce
0.9901 0.8741 0.9047 Ce
0.3844 0.7481 0.7900 Mg
0.3844 0.7519 0.2900 Mg
0.6156 0.2481 0.7100 Mg
0.6156 0.2519 0.2100 Mg
0.2512 0.5599 0.0917 Pt
0.2512 0.9401 0.5917 Pt
0.7488 0.0599 0.4083 Pt
0.7488 0.4401 0.9083 Pt
```


--- ii ---
The following is a DFT calculation (GGA-PBE) of crystalline Ce2MgPt at its relaxed geometry.

Properties
**Volume**: 119 Å³/cell
**M_tot**: 2.1 μB per formula unit

Structure (POSCAR):
```
Ce2MgPt
1.0
1.9705 1.1376 8.8241
-1.9705 1.1376 8.8241
0.0000 -2.2753 8.8241
Ce Mg Pt
2 1 1
direct
0.0000 0.0000 0.0000 Ce
0.2013 0.2013 0.2013 Ce
0.4334 0.4334 0.4334 Mg
0.6010 0.6010 0.6010 Pt
```


Question: of the structures shown, which is the least stable? Reply: ii.